[1]
Sr2MgSb (PBE, optimized geometry); E_form (uncorrected) = -0.418 eV/atom; excess energy over the best structure of this formula in the dataset = 184 meV per atom; space group = C2/m, No. 12
1.0
4.3301 -2.5121 0.0000
4.3301 2.5121 0.0000
-2.9255 0.0000 7.6188
Sr Mg Sb
2 1 1
Cartesian
1.4373 0.0000 1.5979 Sr
4.2974 0.0000 6.0210 Sr
-1.4628 0.0000 3.8094 Mg
4.3301 0.0000 0.0000 Sb

=====

[2]
SrMg2Sb (PBE, optimized geometry); E_form (uncorrected) = -0.195 eV/atom; space group = P4/mmm, No. 123
1.0
4.0727 0.0000 0.0000
0.0000 4.0727 0.0000
0.0000 0.0000 7.0882
Sr Mg Sb
1 2 1
Cartesian
0.0000 0.0000 0.0000 Sr
2.0363 2.0363 2.1109 Mg
2.0363 2.0363 4.9773 Mg
0.0000 0.0000 3.5441 Sb